# 1
! Cs2KCdHg | Alexandria via LeMat-Bulk | PBE | relaxed; values from VASP
! - ΔE to the lowest computed polymorph: 57 meV/atom
! - Calculated total energy: -3.9 eV/f.u.
&SYSTEM
  ibrav = 0, nat = 5, ntyp = 4
/
ATOMIC_SPECIES
Cs 132.91 Cs.upf
K 39.10 K.upf
Cd 112.41 Cd.upf
Hg 200.59 Hg.upf
CELL_PARAMETERS angstrom
7.219 0.000 0.000
0.000 7.219 0.000
0.000 0.000 6.669
ATOMIC_POSITIONS angstrom
Cs 0.000 3.610 0.000
Cs 3.610 0.000 0.000
K 0.000 0.000 3.335
Cd 3.610 3.610 3.335
Hg 0.000 0.000 0.000

# 2
! CsKCd2Hg | Alexandria via LeMat-Bulk | PBE | relaxed; values from VASP
! - ΔE to the lowest computed polymorph: 0 meV/atom
! - Calculated total energy: -4.5 eV/f.u.
&SYSTEM
  ibrav = 0, nat = 5, ntyp = 4
/
ATOMIC_SPECIES
Cs 132.91 Cs.upf
K 39.10 K.upf
Cd 112.41 Cd.upf
Hg 200.59 Hg.upf
CELL_PARAMETERS angstrom
-2.400 2.863 7.580
2.400 -2.863 7.580
2.400 2.863 -7.580
ATOMIC_POSITIONS angstrom
Cs 0.000 0.000 0.000
K 2.400 0.000 3.981
Cd 0.000 0.000 9.512
Cd 0.000 2.863 3.879
Hg 0.000 0.000 6.469

no.,D(E_F) (states/eV/cell)
1,5.72
2,3.17